# AlIrRu

A relaxed AlIrRu crystal (PBE, Alexandria).

a b c (Å): 2.7709 2.7709 6.3799
angles (deg): 90.00 90.00 120.00
With the nearest neighbours (Å) after each atom.
Sites, in units of the cell vectors:
Ru (0.3333, 0.6667, 0.6733)  3 Al 2.62, 3 Ir 2.73, 6 Ru 2.77
Ir (0.6667, 0.3333, 0.3273)  3 Al 2.63, 3 Ru 2.73, 6 Ir 2.77
Al (0.0000, 0.0000, 0.9994)  3 Ru 2.62, 3 Ir 2.63, 6 Al 2.77

Summary:
For the calculated volume, the calculation gives 42.42 Å³ per cell. The symmetry is P3m1, No. 156.


# Tc3IrF

A relaxed Tc3IrF crystal (PBE, Alexandria).

a b c (Å): 4.1154 4.1154 4.1154
angles (deg): 90.00 90.00 90.00
With the nearest neighbours (Å) after each atom.
Sites, in units of the cell vectors:
Ir (0.5000, 0.5000, 0.5000)  12 Tc 2.91
Tc (0.0000, 0.5000, 0.0000)  2 F 2.06
Tc (0.0000, 0.0000, 0.5000)  2 F 2.06
Tc (0.5000, 0.0000, 0.0000)  2 F 2.06
F (0.0000, 0.0000, 0.0000)  6 Tc 2.06

Summary:
The formation energy (no corrections) comes out at 0.7881 eV per atom. For the calculated volume, the calculation gives 69.70 Å³ per cell. The symmetry is Pm-3m, No. 221.


Summary of density of states at the Fermi level in states/eV/atom
0.840, 1.436
(order as listed above)
Summary of mass density in g/cm3
12.5, 12.0
(order as listed above)
Summary of energy relative to the lowest polymorph listed for this composition in meV per atom
58, 0
(order as listed above)